HoNiIrO6 PBE with a Hubbard U optimized geometry; VASP energy = -6.449 eV per atom; magnetization = 0.4 Bohr magnetons per cell
1.0
5.3824 0.0000 0.0000
-2.6912 4.6613 0.0000
0.0000 0.0000 8.5531
Ho Ni Ir O
2 2 2 12
Cartesian
0.0000 3.1075 2.1383 Ho
2.6912 1.5538 6.4148 Ho
0.0000 0.0000 0.0000 Ni
0.0000 0.0000 4.2765 Ni
2.6912 1.5538 2.1383 Ir
0.0000 3.1075 6.4148 Ir
1.9427 2.9673 1.0511 O
4.2896 1.4952 1.0511 O
-0.8499 4.4625 5.3276 O
-1.5984 3.1661 7.5020 O
1.0927 1.4952 3.2254 O
3.4397 2.9673 3.2254 O
0.8499 4.4625 7.5020 O
3.5411 0.1987 3.2254 O
-0.7485 1.6939 5.3276 O
1.8412 0.1987 1.0511 O
1.5984 3.1661 5.3276 O
0.7485 1.6939 7.5020 O